Computed, not measured: an optimized crystal structure of NpCoSbO6 at the GGA+U level of DFT.

Output
Final energy in eV/cell: -135.665

Unit cell a=5.197 b=5.197 c=9.909 alpha=90.00 beta=90.00 gamma=120.00
Element x y z (fractional)
Np: 0.333 0.667 0.250
Np: 0.667 0.333 0.750
Co: 0.333 0.667 0.750
Co: 0.667 0.333 0.250
Sb: 0.000 0.000 0.000
Sb: 0.000 0.000 0.500
O: 0.020 0.363 0.638
O: 0.020 0.657 0.862
O: 0.343 0.363 0.862
O: 0.343 0.980 0.638
O: 0.363 0.020 0.138
O: 0.363 0.343 0.362
O: 0.637 0.657 0.638
O: 0.637 0.980 0.862
O: 0.657 0.020 0.362
O: 0.657 0.637 0.138
O: 0.980 0.343 0.138
O: 0.980 0.637 0.362